(1)
VASP calculation (PBEsol) on NaCdSi2 after structural relaxation.

Results
calculated total energy	-3.122	eV/atom
E_form (uncorrected)	0.40	eV per atom
space group	I-42d

a = 10.1547 Å, b = 10.1547 Å, c = 10.1547 Å
α = 156.45°, β = 156.45°, γ = 33.54°
Closest atoms and distances in Å follow each position.
Element x y z (fractional)
Na1 0.0000 0.0000 0.0000  4 Cd 2.93, 4 Si 2.97
Na2 0.7500 0.2500 0.5000  4 Cd 2.93, 4 Si 2.97
Cd1 0.2500 0.7500 0.5000  4 Si 2.74, 4 Na 2.93
Cd2 0.5000 0.5000 0.0000  4 Si 2.74, 4 Na 2.93
Si1 0.2033 0.6250 0.0783  2 Si 2.51, 2 Cd 2.74
Si2 0.3750 0.4533 0.5783  2 Si 2.51, 2 Cd 2.74
Si3 0.5467 0.1250 0.9217  2 Si 2.51, 2 Cd 2.74
Si4 0.8750 0.7967 0.4217  2 Si 2.51, 2 Cd 2.74

(2)
VASP calculation (PBEsol) on HfAlTl2Re after structural relaxation.

Results
energy of formation	1.120	eV per atom
calculated total energy	-5.517	eV/atom
space group	P4/mmm

a = 5.1624 Å, b = 5.1624 Å, c = 4.6713 Å
α = 90.00°, β = 90.00°, γ = 90.00°
Closest atoms and distances in Å follow each position.
Element x y z (fractional)
Hf1 0.0000 0.0000 0.0000  8 Tl 3.48, 4 Al 3.65
Al1 0.5000 0.5000 0.0000  2 Re 2.34
Tl1 0.0000 0.5000 0.5000  2 Re 2.58
Tl2 0.5000 0.0000 0.5000  2 Re 2.58
Re1 0.5000 0.5000 0.5000  2 Al 2.34, 4 Tl 2.58